56
Lattice="8.357 0.000 0.000 0.000 8.357 0.000 -0.020 0.000 8.358" Properties=species:S:1:pos:R:3 comment="Li3Ti6Zn3O16, single point on PBEsol structure, DFT SCAN" crystal_system=monoclinic total_energy_ev_per_fu=-322.86 rho_g_cm3=4.3 pbc="T T T"
Li 0.002 0.000 2.081
Li 1.042 3.151 3.121
Li 3.123 5.237 7.315
Li 5.215 1.058 1.043
Li 7.296 7.330 5.237
Li 8.336 4.179 6.277
Ti 0.954 1.076 5.133
Ti 1.012 7.259 7.283
Ti 1.074 5.216 0.993
Ti 3.029 3.195 5.237
Ti 3.103 1.101 3.085
Ti 3.140 7.322 1.007
Ti 5.198 3.143 7.351
Ti 5.235 5.280 5.273
Ti 5.309 7.374 3.122
Ti 7.264 1.037 7.365
Ti 7.326 3.081 1.075
Ti 7.384 5.254 3.225
Zn 2.061 2.105 8.340
Zn 2.083 6.298 4.181
Zn 4.153 0.015 6.265
Zn 4.185 4.194 2.094
Zn 6.254 2.119 4.177
Zn 6.277 6.284 0.019
O 0.905 5.248 3.020
O 0.931 3.282 1.039
O 0.929 0.964 7.206
O 1.028 5.383 7.440
O 1.045 7.455 5.364
O 1.149 7.225 0.932
O 1.177 1.043 3.284
O 1.180 3.007 5.227
O 2.996 5.345 1.061
O 3.005 7.335 7.452
O 3.030 1.155 5.132
O 3.116 0.954 1.179
O 3.154 3.009 3.254
O 3.221 7.422 3.043
O 3.244 5.097 5.199
O 3.260 3.133 7.191
O 5.077 7.312 1.167
O 5.094 0.918 3.159
O 5.117 3.243 5.315
O 5.184 7.187 5.105
O 5.222 5.132 7.179
O 5.308 5.334 3.226
O 5.333 3.157 0.906
O 5.342 1.167 7.297
O 7.158 7.186 3.131
O 7.161 5.222 5.074
O 7.189 3.047 7.426
O 7.293 3.276 2.995
O 7.310 1.205 0.918
O 7.408 5.143 1.153
O 7.406 7.460 7.319
O 7.433 1.069 5.338

16
Lattice="4.563 0.000 0.000 0.000 4.563 0.000 0.000 0.000 9.140" Properties=species:S:1:pos:R:3 comment="LiTlO2, single point on PBEsol structure, DFT SCAN" crystal_system=tetragonal de_polymorph_mev_per_atom=9.7 rho_g_cm3=8.5 pbc="T T T"
Li 0.000 1.141 3.428
Li 0.000 3.423 5.713
Li 2.282 1.141 1.143
Li 2.282 3.423 7.998
Tl 0.000 1.141 7.998
Tl 0.000 3.423 1.143
Tl 2.282 1.141 5.713
Tl 2.282 3.423 3.428
O 0.000 1.141 1.102
O 0.000 1.141 5.753
O 0.000 3.423 3.387
O 0.000 3.423 8.038
O 2.282 1.141 3.468
O 2.282 1.141 7.957
O 2.282 3.423 1.183
O 2.282 3.423 5.672

5
Lattice="4.049 0.000 0.000 0.000 4.049 0.000 0.000 0.000 4.049" Properties=species:S:1:pos:R:3 comment="Li3TlO, single point on PBEsol structure, DFT SCAN" crystal_system=cubic total_energy_ev_per_fu=-90.95 rho_g_cm3=6.0 pbc="T T T"
Li 0.000 0.000 2.025
Li 0.000 2.025 0.000
Li 2.025 0.000 0.000
Tl 2.025 2.025 2.025
O 0.000 0.000 0.000

16
Lattice="4.685 0.000 0.000 0.000 4.685 0.000 0.000 0.000 9.939" Properties=species:S:1:pos:R:3 comment="LiTlO2, single point on PBEsol structure, DFT SCAN" crystal_system=tetragonal de_polymorph_mev_per_atom=0.0 rho_g_cm3=7.4 pbc="T T T"
Li 0.000 0.000 0.000
Li 0.000 2.343 2.485
Li 2.343 0.000 7.454
Li 2.343 2.343 4.969
Tl 0.000 0.000 4.969
Tl 0.000 2.343 7.454
Tl 2.343 0.000 2.485
Tl 2.343 2.343 0.000
O 1.016 1.171 1.242
O 1.171 3.359 3.727
O 1.171 3.670 8.697
O 1.327 1.171 6.212
O 3.359 3.514 6.212
O 3.514 1.016 8.697
O 3.514 1.327 3.727
O 3.670 3.514 1.242

4
Lattice="3.317 0.000 0.000 0.000 3.317 0.000 0.000 0.000 4.271" Properties=species:S:1:pos:R:3 comment="LiTlO2, single point on PBEsol structure, DFT SCAN" crystal_system=tetragonal de_polymorph_mev_per_atom=48.7 rho_g_cm3=8.6 pbc="T T T"
Li 0.000 0.000 0.000
Tl 1.658 1.658 2.135
O 0.000 0.000 2.135
O 1.658 1.658 0.000

5
Lattice="4.151 0.000 0.000 0.000 4.151 0.000 0.000 0.000 4.152" Properties=species:S:1:pos:R:3 comment="LiYTlO2, single point on PBEsol structure, DFT SCAN" crystal_system=tetragonal total_energy_ev_per_fu=-119.57 rho_g_cm3=7.7 pbc="T T T"
Li 0.000 0.000 0.000
Y 2.075 2.075 2.076
Tl 0.000 0.000 2.076
O 0.000 2.075 0.000
O 2.075 0.000 0.000